Crystalline CePrGdTm at its relaxed geometry, computed with PBE.

Properties
Crystal system: cubic
SG: F-43m (216)
Formation energy from the elements, eV/atom: 0.174
Size of the total moment, μB/f.u.: 10.4

Unit cell a=5.714 b=5.714 c=5.714 alpha=60.00 beta=60.00 gamma=60.00
Site moments in Bohr magnetons follow the coordinates.
Positions (direct):
Gd  0.750  0.750  0.750  7.43
Tm  0.500  0.500  0.500  0.36
Ce  0.000  0.000  0.000  1.13
Pr  0.250  0.250  0.250  0.25